Tm2PaRu2 | PBE-GGA | relaxed

Unit cell a=7.0091 b=6.5917 c=10.0948 alpha=90.00 beta=97.89 gamma=90.00
Last column: nearest neighbours and their distance in Å.
Fractional positions:
Tm 0.8832 0.6562 0.2818  5 Ru 2.85-3.11
Ru 0.7814 0.4346 0.5126  1 Pa 2.41
Pa 0.5016 0.3311 0.3610  2 Ru 2.41-2.54
Ru 0.7243 0.0396 0.1941  1 Pa 2.54, 1 Tm 2.84
Tm 0.0678 0.7422 0.9819  3 Ru 2.84-2.93
Tm 0.5678 0.7578 0.9819  3 Ru 2.84-2.93
Tm 0.9322 0.2578 0.0181  3 Ru 2.84-2.93
Ru 0.2186 0.5654 0.4874  1 Pa 2.41
Ru 0.2814 0.0654 0.5126  1 Pa 2.41
Pa 0.4984 0.6689 0.6390  2 Ru 2.41-2.54
Tm 0.6168 0.1562 0.7182  5 Ru 2.85-3.11
Pa 0.0016 0.1689 0.3610  2 Ru 2.41-2.54
Ru 0.2243 0.4604 0.1941  1 Pa 2.54, 1 Tm 2.84
Ru 0.7186 0.9346 0.4874  1 Pa 2.41
Tm 0.4322 0.2422 0.0181  3 Ru 2.84-2.93
Ru 0.7757 0.5396 0.8059  1 Pa 2.54, 1 Tm 2.84
Tm 0.3832 0.8438 0.2818  5 Ru 2.85-3.11
Tm 0.1168 0.3438 0.7182  5 Ru 2.85-3.11
Ru 0.2757 0.9604 0.8059  1 Pa 2.54, 1 Tm 2.84
Pa 0.9984 0.8311 0.6390  2 Ru 2.41-2.54

Computed properties:
calculated formation energy: -2.4 eV/f.u.
energy relative to the lowest polymorph listed for this composition: 34 meV per atom
symmetry: No. 14


MgPPt2 | PBE-GGA | relaxed

Unit cell a=3.9726 b=2.9598 c=5.4561 alpha=89.98 beta=90.00 gamma=90.00
Last column: nearest neighbours and their distance in Å.
Fractional positions:
Mg 0.5000 0.2500 0.2500  8 Pt 2.82, 2 Mg 2.96, 4 P 3.10
Pt 0.0000 0.7498 0.4982  2 P 2.42
P 0.5000 0.7500 0.7500  4 Pt 2.42
Pt 0.0000 0.7502 0.0018  2 P 2.42

Computed properties:
calculated formation energy: -2.1 eV/f.u.
symmetry: No. 47


Er4CdCo2 | PBE-GGA | relaxed

Unit cell a=8.7428 b=8.9297 c=6.8593 alpha=126.26 beta=105.14 gamma=108.67
Last column: nearest neighbours and their distance in Å.
Fractional positions:
Co 0.6715 0.2415 0.0411  1 Co 2.33
Er 0.9098 0.2472 0.8339  4 Co 2.66-2.90
Er 0.2417 0.1475 0.6646  1 Co 2.67
Cd 0.0812 0.6231 0.5059  2 Co 2.82-2.93, 6 Er 3.09-3.14, 1 Cd 3.13
Co 0.6285 0.8687 0.2468  6 Er 2.60-2.67, 1 Co 2.88
Co 0.5859 0.2747 0.7248  1 Co 2.33
Er 0.4453 0.5288 0.6720  2 Co 2.60-2.73
Er 0.7305 0.6412 0.2938  3 Co 2.61-2.68
Er 0.4532 0.0396 0.1658  3 Co 2.65-2.85
Cd 0.1074 0.0563 0.9824  7 Er 3.00-3.20, 1 Cd 3.13
Er 0.8844 0.1378 0.2544  3 Co 2.67-2.78
Er 0.4104 0.7986 0.4305  4 Co 2.65-2.93
Er 0.9019 0.6108 0.8376  2 Co 2.84-2.88, 2 Cd 3.11-3.14
Co 0.1983 0.5342 0.8464  5 Er 2.68-2.90, 1 Co 2.88, 1 Cd 2.93

Computed properties:
calculated formation energy: -1.0 eV/f.u.
symmetry: No. 1


NaPrHoSn | PBE-GGA | relaxed

Unit cell a=5.4205 b=5.4205 c=5.4205 alpha=60.00 beta=60.00 gamma=60.00
Last column: nearest neighbours and their distance in Å.
Fractional positions:
Ho 0.0000 0.0000 0.0000  4 Na 3.32, 4 Sn 3.32
Sn 0.2500 0.2500 0.2500  4 Ho 3.32, 4 Pr 3.32
Pr 0.5000 0.5000 0.5000  4 Na 3.32, 4 Sn 3.32
Na 0.7500 0.7500 0.7500  4 Ho 3.32, 4 Pr 3.32

Computed properties:
calculated formation energy: -1.2 eV/f.u.
symmetry: No. 216


RbSc2Sn2 | PBE-GGA | relaxed

Unit cell a=5.4577 b=5.4577 c=6.9667 alpha=66.94 beta=66.94 gamma=90.00
Last column: nearest neighbours and their distance in Å.
Fractional positions:
Rb 0.0000 0.0000 0.0000  10 Sc 3.90-4.30, 8 Sn 3.98
Sn 0.7500 0.2500 0.5000  4 Sc 2.91
Sc 0.3359 0.3359 0.3281  4 Sn 2.91
Sn 0.2500 0.7500 0.5000  4 Sc 2.91
Sc 0.6641 0.6641 0.6719  4 Sn 2.91

Computed properties:
calculated formation energy: -0.3 eV/f.u.
energy relative to the lowest polymorph listed for this composition: 303 meV per atom
symmetry: No. 139


LaZrSe4 | PBE-GGA | relaxed

Unit cell a=6.9378 b=7.2000 c=6.7224 alpha=90.00 beta=93.94 gamma=90.00
Last column: nearest neighbours and their distance in Å.
Fractional positions:
Se 0.4102 0.8780 0.1343  1 Zr 2.64, 1 Se 2.87, 1 La 2.95
Se 0.8187 0.1721 0.3789  2 Zr 2.71-2.77
Zr 0.5000 0.0000 0.5000  6 Se 2.64-2.77
Se 0.9102 0.6220 0.1343  1 Zr 2.64, 1 Se 2.87, 1 La 2.95
Se 0.0898 0.3780 0.8657  1 Zr 2.64, 1 Se 2.87, 1 La 2.95
Se 0.5898 0.1220 0.8657  1 Zr 2.64, 1 Se 2.87, 1 La 2.95
Zr 0.0000 0.5000 0.5000  6 Se 2.64-2.77
Se 0.1813 0.8279 0.6211  2 Zr 2.71-2.77
Se 0.6813 0.6721 0.6211  2 Zr 2.71-2.77
La 0.5000 0.5000 0.0000  6 Se 2.95-3.17
Se 0.3187 0.3279 0.3789  2 Zr 2.71-2.77
La 0.0000 0.0000 0.0000  6 Se 2.95-3.17

Computed properties:
raw formation energy: -1.267 eV per atom
energy relative to the lowest polymorph listed for this composition: 0 meV per atom
symmetry: No. 14


no.,magnetic moment (μB/f.u.),D(E_F) (states/eV per cell)
1,0.00,10.40
2,0.00,1.43
3,0.00,12.16
4,0.01,3.36
5,0.85,2.51
6,0.00,7.45